The following is a GGA-PBE calculation of YSbMo after structural relaxation, from Alexandria via LeMat-Bulk.

Results
Polymorph energy (0 for the lowest one) ... 0.354 eV/atom
Calculated volume ... 25.02 A^3/atom
Formation energy from raw total energies ... 185.2 meV/atom

CIF file:
```
data_YSbMo
_chemical_formula_sum 'Y4 Sb4 Mo4'
_space_group_name_H-M_alt 'F -4 3 m'
_space_group_IT_number 216
_space_group_name_Hall 'F -4 2 3'
_cell_length_a 6.696
_cell_length_b 6.696
_cell_length_c 6.696
_cell_angle_alpha 90.00
_cell_angle_beta 90.00
_cell_angle_gamma 90.00
loop_
_atom_site_label
_atom_site_type_symbol
_atom_site_fract_x
_atom_site_fract_y
_atom_site_fract_z
Y1 Y 0.000 0.000 0.000
Sb1 Sb 0.250 0.250 0.750
Mo1 Mo 0.000 0.000 0.500
```